Density functional theory data (GGA-PBE) for Ca2DyZn4 after structural relaxation.

Calculated values
Calculated formation energy = -26.7 kJ/mol of atoms
VASP energy = -2.234 eV per atom

Unit cell a=10.2964 b=10.2964 c=10.2964 alpha=158.91 beta=155.14 gamma=32.82
With the nearest neighbours (Å) after each atom.
Fractional positions:
1 Ca 0.1890 0.1890 0.0000  6 Zn 3.12
2 Ca 0.8110 0.8110 0.0000  6 Zn 3.12
3 Dy 0.5000 0.0000 0.5000  12 Zn 3.17-3.22
4 Zn 0.0633 0.5633 0.5000  3 Zn 2.50-2.60
5 Zn 0.3680 0.3680 0.0000  2 Zn 2.60
6 Zn 0.6320 0.6320 0.0000  2 Zn 2.60
7 Zn 0.9367 0.4367 0.5000  3 Zn 2.50-2.60

Density functional theory data (GGA-PBE) for CaDyZn after structural relaxation.

Calculated values
Calculated formation energy = -15.4 kJ/mol of atoms
VASP energy = -2.786 eV per atom
Energy above the most stable polymorph in this dataset = 0.000 eV per atom

Unit cell a=6.9179 b=6.9179 c=6.9179 alpha=149.66 beta=149.66 gamma=43.44
With the nearest neighbours (Å) after each atom.
Fractional positions:
1 Ca 0.0000 0.0000 0.0000  4 Zn 3.21, 1 Dy 3.54
2 Dy 0.2752 0.2752 0.0000  4 Zn 3.02
3 Zn 0.6513 0.6513 0.0000  4 Dy 3.02, 4 Ca 3.21

Density functional theory data (GGA-PBE) for CaDyZn17 after structural relaxation.

Calculated values
Calculated formation energy = -19.7 kJ/mol of atoms
VASP energy = -1.691 eV per atom

Unit cell a=6.8132 b=6.8132 c=6.8132 alpha=82.86 beta=82.86 gamma=82.86
With the nearest neighbours (Å) after each atom.
Fractional positions:
1 Ca 0.0000 0.0000 0.0000  19 Zn 3.13-3.44
2 Dy 0.3283 0.3283 0.3283  16 Zn 3.09-3.42
3 Zn 0.0166 0.0166 0.4990  8 Zn 2.56-2.76
4 Zn 0.0166 0.4990 0.0166  8 Zn 2.56-2.76
5 Zn 0.1630 0.6631 0.6631  10 Zn 2.58-2.75
6 Zn 0.3123 0.3123 0.8230  9 Zn 2.56-2.86
7 Zn 0.3123 0.8230 0.3123  9 Zn 2.56-2.86
8 Zn 0.3664 0.6633 0.9608  8 Zn 2.58-2.76
9 Zn 0.3664 0.9608 0.6633  8 Zn 2.58-2.76
10 Zn 0.4990 0.0166 0.0166  8 Zn 2.56-2.76
11 Zn 0.5627 0.5627 0.5627  7 Zn 2.64-2.86
12 Zn 0.6631 0.1630 0.6631  10 Zn 2.58-2.75
13 Zn 0.6633 0.3664 0.9608  8 Zn 2.58-2.76
14 Zn 0.6631 0.6631 0.1630  10 Zn 2.58-2.75
15 Zn 0.6633 0.9608 0.3664  8 Zn 2.58-2.76
16 Zn 0.7626 0.7626 0.7626  7 Zn 2.64-2.90
17 Zn 0.8230 0.3123 0.3123  9 Zn 2.56-2.86
18 Zn 0.9608 0.3664 0.6633  8 Zn 2.58-2.76
19 Zn 0.9608 0.6633 0.3664  8 Zn 2.58-2.76

Density functional theory data (GGA-PBE) for Ca2DyZn after structural relaxation.

Calculated values
Calculated formation energy = -2.0 kJ/mol of atoms
VASP energy = -2.491 eV per atom
Energy above the most stable polymorph in this dataset = 0.000 eV per atom

Unit cell a=3.5854 b=3.5854 c=9.5032 alpha=90.00 beta=90.00 gamma=90.00
With the nearest neighbours (Å) after each atom.
Fractional positions:
1 Ca 0.0000 0.0000 0.1998  4 Zn 3.17
2 Ca 0.0000 0.0000 0.8002  4 Zn 3.17
3 Dy 0.5000 0.5000 0.5000  4 Dy 3.59, 8 Ca 3.82
4 Zn 0.5000 0.5000 0.0000  8 Ca 3.17

Density functional theory data (GGA-PBE) for Ca2DyZr after structural relaxation.

Calculated values
Calculated formation energy = 43.8 kJ/mol of atoms
VASP energy = -3.834 eV per atom

Unit cell a=12.9697 b=12.9697 c=12.9697 alpha=15.02 beta=15.02 gamma=15.02
With the nearest neighbours (Å) after each atom.
Fractional positions:
1 Ca 0.0852 0.0852 0.0852  1 Zr 3.28, 6 Ca 3.39
2 Ca 0.9148 0.9148 0.9148  1 Zr 3.28, 6 Ca 3.39
3 Dy 0.5000 0.5000 0.5000  6 Dy 3.39, 6 Ca 3.69
4 Zr 0.0000 0.0000 0.0000  2 Ca 3.28, 6 Zr 3.39

Density functional theory data (GGA-PBE) for CaDy2Zr after structural relaxation.

Calculated values
Calculated formation energy = 10.0 kJ/mol of atoms
VASP energy = -4.835 eV per atom
Energy above the most stable polymorph in this dataset = 0.000 eV per atom

Unit cell a=3.5018 b=3.5018 c=10.1597 alpha=90.00 beta=90.00 gamma=90.00
With the nearest neighbours (Å) after each atom.
Fractional positions:
1 Ca 0.0000 0.0000 0.0000  4 Ca 3.50, 8 Dy 3.81
2 Dy 0.5000 0.5000 0.2852  4 Zr 3.30, 4 Dy 3.50
3 Dy 0.5000 0.5000 0.7148  4 Zr 3.30, 4 Dy 3.50
4 Zr 0.0000 0.0000 0.5000  8 Dy 3.30, 4 Zr 3.50

Density functional theory data (GGA-PBE) for CaDy2Zr after structural relaxation.

Calculated values
Calculated formation energy = 11.7 kJ/mol of atoms
VASP energy = -4.817 eV per atom
Energy above the most stable polymorph in this dataset = 0.018 eV per atom

Unit cell a=11.8524 b=11.8524 c=11.8524 alpha=16.94 beta=16.94 gamma=16.94
With the nearest neighbours (Å) after each atom.
Fractional positions:
1 Ca 0.0000 0.0000 0.0000  6 Ca 3.49, 6 Dy 3.80-3.82
2 Dy 0.2413 0.2413 0.2413  3 Zr 3.29, 6 Dy 3.49
3 Dy 0.4260 0.4260 0.4260  3 Zr 3.30, 6 Dy 3.49
4 Zr 0.8338 0.8338 0.8338  6 Dy 3.29-3.30, 6 Zr 3.49

Density functional theory data (GGA-PBE) for CaDy2Zr after structural relaxation.

Calculated values
Calculated formation energy = 11.9 kJ/mol of atoms
VASP energy = -4.815 eV per atom
Energy above the most stable polymorph in this dataset = 0.020 eV per atom

Unit cell a=11.8580 b=11.8580 c=11.8580 alpha=16.93 beta=16.93 gamma=16.93
With the nearest neighbours (Å) after each atom.
Fractional positions:
1 Ca 0.0000 0.0000 0.0000  6 Ca 3.49, 6 Dy 3.81
2 Dy 0.2411 0.2411 0.2411  3 Zr 3.30, 6 Dy 3.49
3 Dy 0.7589 0.7589 0.7589  3 Zr 3.30, 6 Dy 3.49
4 Zr 0.5000 0.5000 0.5000  6 Dy 3.30, 6 Zr 3.49

Question: calculated formation energy of number 3 (CaDyZn17)?
Answer: -19.7 kJ/mol of atoms